VASP calculation (PBE) on an optimized crystal structure of TaFe2Te.

Output
V	16.42	A^3/atom
crystal system	tetragonal
SG	P4mm
formation energy from raw total energies	0.2529	eV per atom

Geometry as POSCAR:
```
TaFe2Te
1.0
3.372 -0.010 0.000
0.010 3.372 0.000
0.000 0.000 5.778
Fe Te Ta
2 1 1
direct
0.500 0.500 0.229 Fe
0.000 0.000 0.039 Fe
0.500 0.500 0.755 Te
0.000 0.000 0.477 Ta
```


VASP calculation (PBE) on an optimized crystal structure of Pr4DyP5.

Output
V	25.59	A^3/atom
DFT formation energy	-1.53	eV/atom
crystal system	tetragonal
SG	I4/m

Geometry as POSCAR:
```
Pr4DyP5
1.0
-3.088 4.561 -2.106
-5.292 2.245 4.364
2.634 6.456 1.865
P Pr Dy
5 4 1
direct
0.099 0.608 0.196 P
0.903 0.392 0.804 P
0.501 0.000 0.000 P
0.707 0.196 0.392 P
0.295 0.804 0.608 P
0.201 0.201 0.398 Pr
0.801 0.799 0.602 Pr
0.600 0.602 0.201 Pr
0.402 0.398 0.799 Pr
0.001 0.000 0.000 Dy
```


no.,energy (eV/cell)
1,-30.908
2,-66.020